(1)
VASP calculation (SCAN) on a PBEsol-optimized structure of Mg2HgPb.

## Properties
**Calculated density**: 8.064 g/cm³
**Energy relative to the lowest polymorph listed for this composition**: 80 meV per atom
**Crystal system**: orthorhombic

a b c (Å): 3.4459 4.4522 6.1263
angles (deg): 90.00 90.00 90.00
With the nearest neighbours (Å) after each atom.
Sites, in units of the cell vectors:
Pb 0.0000 0.0000 0.4797  6 Mg 3.02-3.13
Mg 0.0000 0.0000 0.9727  2 Pb 3.02-3.11, 4 Hg 3.03, 4 Mg 3.31
Mg 0.5000 0.5000 0.2579  1 Hg 2.87, 4 Pb 3.13
Hg 0.5000 0.5000 0.7897  5 Mg 2.87-3.03


(2)
VASP calculation (SCAN) on a PBEsol-optimized structure of Mg2HgPb.

## Properties
**Calculated density**: 8.002 g/cm³
**Energy relative to the lowest polymorph listed for this composition**: 130 meV per atom
**Crystal system**: tetragonal

a b c (Å): 3.6675 3.6675 7.0419
angles (deg): 90.00 90.00 90.00
With the nearest neighbours (Å) after each atom.
Sites, in units of the cell vectors:
Pb 0.0000 0.0000 0.4976  5 Mg 3.19-3.38, 4 Hg 3.31
Mg 0.0000 0.0000 0.9776  4 Hg 2.91, 4 Mg 3.16
Mg 0.5000 0.5000 0.2340  1 Hg 3.12, 4 Mg 3.16, 4 Pb 3.19
Hg 0.5000 0.5000 0.7908  5 Mg 2.91-3.12


(3)
VASP calculation (SCAN) on a PBEsol-optimized structure of Mg2HgPb.

## Properties
**Calculated density**: 8.327 g/cm³
**Energy relative to the lowest polymorph listed for this composition**: 21 meV per atom
**Crystal system**: tetragonal

a b c (Å): 5.0229 5.0625 5.0229
angles (deg): 119.74 90.00 119.74
With the nearest neighbours (Å) after each atom.
Sites, in units of the cell vectors:
Pb 0.5000 0.0000 0.5000  8 Mg 3.09
Mg 0.7500 0.5000 0.2500  4 Hg 3.09, 4 Pb 3.09
Mg 0.2500 0.5000 0.7500  4 Hg 3.09, 4 Pb 3.09
Hg 0.0000 0.0000 0.0000  8 Mg 3.09


(4)
VASP calculation (SCAN) on a PBEsol-optimized structure of MgHgPb2.

## Properties
**Calculated density**: 10.170 g/cm³
**Crystal system**: tetragonal

a b c (Å): 3.4889 3.4889 8.5753
angles (deg): 90.00 90.00 90.00
With the nearest neighbours (Å) after each atom.
Sites, in units of the cell vectors:
Pb 0.0000 0.0000 0.7389  4 Mg 3.21, 4 Hg 3.33, 4 Pb 3.49
Pb 0.0000 0.0000 0.2611  4 Mg 3.21, 4 Hg 3.33, 4 Pb 3.49
Mg 0.5000 0.5000 0.5000  8 Pb 3.21, 4 Mg 3.49
Hg 0.5000 0.5000 0.0000  8 Pb 3.33, 4 Hg 3.49


(5)
VASP calculation (SCAN) on a PBEsol-optimized structure of Mg2HgPb.

## Properties
**Calculated density**: 8.085 g/cm³
**Energy relative to the lowest polymorph listed for this composition**: 74 meV per atom
**Crystal system**: orthorhombic

a b c (Å): 3.7453 4.7081 6.1083
angles (deg): 112.67 107.85 90.00
With the nearest neighbours (Å) after each atom.
Sites, in units of the cell vectors:
Pb 0.5135 0.5135 0.0271  4 Mg 3.03, 2 Hg 3.25
Mg 0.9776 0.9776 0.9552  2 Hg 2.95, 4 Pb 3.03
Mg 0.7460 0.2460 0.4920  4 Hg 3.01
Hg 0.2629 0.7629 0.5257  6 Mg 2.95-3.01, 2 Pb 3.25


(6)
VASP calculation (SCAN) on a PBEsol-optimized structure of MgHgPb2.

## Properties
**Calculated density**: 10.281 g/cm³
**Crystal system**: orthorhombic

a b c (Å): 3.5969 5.3901 6.2341
angles (deg): 115.61 106.77 90.00
With the nearest neighbours (Å) after each atom.
Sites, in units of the cell vectors:
Pb 0.9856 0.9856 0.9712  2 Mg 3.25, 4 Hg 3.26, 6 Pb 3.47-3.60
Pb 0.7637 0.2637 0.5274  4 Mg 3.26, 2 Hg 3.26, 6 Pb 3.47-3.60
Mg 0.2314 0.7314 0.4629  2 Hg 2.89
Hg 0.5192 0.5192 0.0385  2 Mg 2.89


(7)
VASP calculation (SCAN) on a PBEsol-optimized structure of Mg2HgPb.

## Properties
**Calculated density**: 8.096 g/cm³
**Energy relative to the lowest polymorph listed for this composition**: 36 meV per atom
**Crystal system**: monoclinic

a b c (Å): 3.4040 4.9177 6.0980
angles (deg): 101.42 90.00 110.25
With the nearest neighbours (Å) after each atom.
Sites, in units of the cell vectors:
Pb 0.0000 0.0000 0.5000  6 Mg 3.07-3.10, 2 Pb 3.40
Mg 0.7561 0.5122 0.7738  3 Hg 2.92-2.98, 3 Pb 3.07-3.10, 2 Mg 3.26
Mg 0.2439 0.4878 0.2262  3 Hg 2.92-2.98, 3 Pb 3.07-3.10, 2 Mg 3.26
Hg 0.5000 0.0000 0.0000  6 Mg 2.92-2.98


(8)
VASP calculation (SCAN) on a PBEsol-optimized structure of MgHgPb2.

## Properties
**Calculated density**: 10.201 g/cm³
**Crystal system**: monoclinic

a b c (Å): 3.5629 4.8883 6.2393
angles (deg): 90.00 106.73 90.00
With the nearest neighbours (Å) after each atom.
Sites, in units of the cell vectors:
Pb 0.0450 0.0000 0.9615  3 Hg 3.17-3.32, 4 Mg 3.26-3.27
Pb 0.7062 0.5000 0.2886  3 Mg 3.18-3.32, 4 Hg 3.26
Mg 0.4395 0.5000 0.7573  2 Hg 2.91, 3 Pb 3.18-3.26
Hg 0.3092 0.0000 0.4926  2 Mg 2.91, 3 Pb 3.17-3.26


(9)
VASP calculation (SCAN) on a PBEsol-optimized structure of MgHg3Pd.

## Properties
**Calculated density**: 9.111 g/cm³
**Crystal system**: cubic

a b c (Å): 5.1108 5.1108 5.1108
angles (deg): 90.00 90.00 90.00
With the nearest neighbours (Å) after each atom.
Sites, in units of the cell vectors:
Mg 0.0000 0.0000 0.0000  6 Hg 2.56
Hg 0.0000 0.5000 0.0000  2 Mg 2.56
Hg 0.0000 0.0000 0.5000  2 Mg 2.56
Hg 0.5000 0.0000 0.0000  2 Mg 2.56
Pd 0.5000 0.5000 0.5000  12 Hg 3.61


(10)
VASP calculation (SCAN) on a PBEsol-optimized structure of RbMgHg2Pd.

## Properties
**Calculated density**: 4.302 g/cm³
**Crystal system**: tetragonal

a b c (Å): 6.0570 6.0570 6.4949
angles (deg): 90.00 90.00 90.00
With the nearest neighbours (Å) after each atom.
Sites, in units of the cell vectors:
Mg 0.0000 0.0000 0.5000  2 Rb 3.25
Rb 0.0000 0.0000 0.0000  4 Hg 3.03, 2 Mg 3.25
Hg 0.0000 0.5000 0.0000  2 Rb 3.03
Hg 0.5000 0.0000 0.0000  2 Rb 3.03
Pd 0.5000 0.5000 0.5000  4 Mg 4.28, 8 Hg 4.44


(11)
VASP calculation (SCAN) on a PBEsol-optimized structure of PmMgHg2.

## Properties
**Calculated density**: 10.272 g/cm³
**Crystal system**: cubic

a b c (Å): 5.0713 5.0713 5.0713
angles (deg): 60.00 60.00 60.00
With the nearest neighbours (Å) after each atom.
Sites, in units of the cell vectors:
Mg 0.5000 0.5000 0.5000  8 Hg 3.11
Hg 0.2500 0.2500 0.2500  4 Mg 3.11, 4 Pm 3.11
Hg 0.7500 0.7500 0.7500  4 Mg 3.11, 4 Pm 3.11
Pm 0.0000 0.0000 0.0000  8 Hg 3.11


(12)
VASP calculation (SCAN) on a PBEsol-optimized structure of PrMgHg2.

## Properties
**Calculated density**: 9.891 g/cm³
**Crystal system**: cubic

a b c (Å): 5.1232 5.1232 5.1232
angles (deg): 60.00 60.00 60.00
With the nearest neighbours (Å) after each atom.
Sites, in units of the cell vectors:
Pr 0.0000 0.0000 0.0000  8 Hg 3.14
Mg 0.5000 0.5000 0.5000  8 Hg 3.14
Hg 0.2500 0.2500 0.2500  4 Pr 3.14, 4 Mg 3.14
Hg 0.7500 0.7500 0.7500  4 Mg 3.14, 4 Pr 3.14


| no. | E_form (eV per formula unit) |
| --- | --- |
| 1 | -0.7 |
| 2 | -0.5 |
| 3 | -1.0 |
| 4 | -0.2 |
| 5 | -0.8 |
| 6 | -0.3 |
| 7 | -0.9 |
| 8 | -0.3 |
| 9 | 2.7 |
| 10 | 5.3 |
| 11 | -2.7 |
| 12 | -2.6 |